# La12Ho3Er

An optimized crystal structure of La12Ho3Er (PBE-GGA, Alexandria).

* ΔE_f: 8 meV per atom
* total DFT energy (no corrections): -4.83 eV per atom

Cell lengths 5.1990, 5.1990, 20.7815 Å; angles 90.00, 90.00, 90.00 degrees
Space group P4/mmm (No. 123)
Unique sites:
1 La 0.0000 0.0000 0.0000 (multiplicity 1)
2 La 0.0000 0.0000 0.2500 (multiplicity 2)
3 La 0.0000 0.0000 0.5000 (multiplicity 1)
4 La 0.0000 0.5000 0.1250 (multiplicity 4)
5 La 0.0000 0.5000 0.3751 (multiplicity 4)
6 Ho 0.5000 0.5000 0.0000 (multiplicity 1)
7 Ho 0.5000 0.5000 0.2500 (multiplicity 2)
8 Er 0.5000 0.5000 0.5000 (multiplicity 1)

# K2RbNaCu

An optimized crystal structure of K2RbNaCu (PBE-GGA, Alexandria).

* ΔE to the lowest computed polymorph: 2.16 kJ/mol of atoms
* ΔE_f: 228 meV per atom
* total DFT energy (no corrections): -1.49 eV per atom

Cell lengths 6.5062, 6.5062, 6.7515 Å; angles 90.00, 90.00, 90.00 degrees
Space group P4/mmm (No. 123)
Unique sites:
1 K 0.0000 0.5000 0.0000 (multiplicity 2)
2 Rb 0.0000 0.0000 0.5000 (multiplicity 1)
3 Na 0.5000 0.5000 0.5000 (multiplicity 1)
4 Cu 0.0000 0.0000 0.0000 (multiplicity 1)

# ScAgOs2

An optimized crystal structure of ScAgOs2 (PBE-GGA, Alexandria).

* ΔE to the lowest computed polymorph: 21.48 kJ/mol of atoms
* ΔE_f: 296 meV per atom
* total DFT energy (no corrections): -7.61 eV per atom

Cell lengths 2.8578, 2.8578, 28.0343 Å; angles 90.00, 90.00, 120.00 degrees
Space group R3m (No. 160, hexagonal axes)
Unique sites:
1 Sc 0.0000 0.0000 0.0000 (multiplicity 3)
2 Ag 0.0000 0.0000 0.2442 (multiplicity 3)
3 Os 0.0000 0.0000 0.4902 (multiplicity 3)
4 Os 0.0000 0.0000 0.7510 (multiplicity 3)

> Number 3 is which compound?

ScAgOs2

> Number 1 is which compound?

La12Ho3Er

> The lowest ΔE_f belongs to which entry?

La12Ho3Er